Material: NbZnC2
Method: DFT, PBEsol
State: optimized geometry

Computed properties:
total DFT energy (no corrections)	-7.15	eV/atom
formation energy	0.77	eV per atom
magnetic moment	0.00	μB/cell

The structure in CIF format:
```
data_NbZnC2
_cell_length_a 4.925
_cell_length_b 4.925
_cell_length_c 8.812
_cell_angle_alpha 90.00
_cell_angle_beta 90.00
_cell_angle_gamma 90.00
_space_group_name_H-M_alt 'I -4 2 d'
_space_group_IT_number 122
_space_group_name_Hall 'I -4 2bw'
loop_
_atom_site_label
_atom_site_type_symbol
_atom_site_fract_x
_atom_site_fract_y
_atom_site_fract_z
_atom_site_occupancy
Nb1 Nb 0.000 0.000 0.000 1
Zn1 Zn 0.000 0.000 0.500 1
C1 C 0.245 0.250 0.125 1
```